PBE Li2Cu5Ni2, optimized geometry; crystal system = monoclinic; DFT formation energy = -0.010 eV/atom; total DFT energy (no corrections) = -4.00 eV/atom; size of the total moment = 0.00 μB per cell
1.0
4.274 -2.021 0.000
4.274 2.021 0.000
-4.160 0.000 6.085
Li Cu Ni
2 5 2
Cartesian
-0.674 0.000 1.029 Li
5.061 0.000 5.057 Li
-2.080 0.000 3.043 Cu
-1.155 0.000 5.762 Cu
0.269 0.000 3.762 Cu
4.118 0.000 2.323 Cu
5.543 0.000 0.324 Cu
1.701 0.000 1.767 Ni
2.686 0.000 4.318 Ni